GGA-PBE CaIn3Sb, relaxed; offset from the most stable computed form = 0.374 eV per atom; density of states at the Fermi level = 3.260 states/eV per cell; formation energy from raw total energies = 0.64 eV/atom; crystal system = cubic; DFT total energy = -11.14 eV per cell
1.0
5.824 0.000 0.000
0.000 5.824 0.000
0.000 0.000 5.824
Ca In Sb
1 3 1
Cartesian
0.000 0.000 0.000
0.000 0.000 2.912
0.000 2.912 0.000
2.912 0.000 0.000
2.912 2.912 2.912